No. 1
{
  "formula": "MnCrNi4Sn2",
  "functional": "SCAN",
  "state": "single point on PBEsol structure",
  "formation_energy_ev_per_atom": -0.19,
  "lattice": [[2.109, 1.217, 6.881], [-2.109, 1.217, 6.881], [0.000, -2.435, 6.881]],
  "species": ["Mn", "Cr", "Ni", "Ni", "Ni", "Ni", "Sn", "Sn"],
  "frac_coords": [[0.000, 0.000, 0.000], [0.500, 0.500, 0.500], [0.123, 0.123, 0.123], [0.374, 0.374, 0.374], [0.626, 0.626, 0.626], [0.877, 0.877, 0.877], [0.249, 0.249, 0.249], [0.751, 0.751, 0.751]]
}

No. 2
{
  "formula": "MnCr2O4",
  "functional": "SCAN",
  "state": "single point on PBEsol structure",
  "final_energy_ev_per_atom": -13.887,
  "lattice": [[0.000, 4.200, 4.200], [4.200, 0.000, 4.200], [4.200, 4.200, 0.000]],
  "species": ["Mn", "Mn", "Cr", "Cr", "Cr", "Cr", "O", "O", "O", "O", "O", "O", "O", "O"],
  "frac_coords": [[0.125, 0.125, 0.125], [0.875, 0.875, 0.875], [0.000, 0.500, 0.500], [0.500, 0.000, 0.500], [0.500, 0.500, 0.000], [0.500, 0.500, 0.500], [0.263, 0.263, 0.263], [0.263, 0.263, 0.710], [0.263, 0.710, 0.263], [0.290, 0.737, 0.737], [0.710, 0.263, 0.263], [0.737, 0.290, 0.737], [0.737, 0.737, 0.290], [0.737, 0.737, 0.737]]
}

No. 3
{
  "formula": "MnCrO4",
  "functional": "SCAN",
  "state": "single point on PBEsol structure",
  "final_energy_ev_per_atom": -12.298,
  "lattice": [[2.771, -4.053, 0.000], [2.771, 4.053, 0.000], [0.000, 0.000, 6.283]],
  "species": ["Mn", "Mn", "Cr", "Cr", "O", "O", "O", "O", "O", "O", "O", "O"],
  "frac_coords": [[0.000, 0.000, 0.000], [0.000, 0.000, 0.500], [0.358, 0.642, 0.750], [0.642, 0.358, 0.250], [0.216, 0.268, 0.750], [0.237, 0.763, 0.538], [0.237, 0.763, 0.962], [0.268, 0.216, 0.250], [0.732, 0.784, 0.750], [0.763, 0.237, 0.038], [0.763, 0.237, 0.462], [0.784, 0.732, 0.250]]
}

Which magnetic moment belongs to each record? In order, 8.29, 11.00, 5.00 μB/f.u..